DFT (PBE) results for an optimized crystal structure of Re2Si4Ni.

a b c (Å): 4.2150 4.2150 12.3522
angles (deg): 90.00 90.00 90.00
Last column: nearest neighbours and their distance in Å.
Sites, in units of the cell vectors:
Re1 0.0000 0.0000 0.1189  5 Si 2.40-2.57
Re2 0.0000 0.0000 0.8811  5 Si 2.40-2.57
Re3 0.5000 0.5000 0.3811  5 Si 2.40-2.57
Re4 0.5000 0.5000 0.6189  5 Si 2.40-2.57
Si1 0.0000 0.0000 0.3128  1 Ni 2.31, 1 Re 2.40
Si2 0.0000 0.0000 0.6872  1 Ni 2.31, 1 Re 2.40
Si3 0.0000 0.5000 0.0000  2 Ni 2.11
Si4 0.0000 0.5000 0.5000  2 Ni 2.11
Si5 0.5000 0.0000 0.0000  2 Ni 2.11
Si6 0.5000 0.0000 0.5000  2 Ni 2.11
Si7 0.5000 0.5000 0.1872  1 Ni 2.31, 1 Re 2.40
Si8 0.5000 0.5000 0.8128  1 Ni 2.31, 1 Re 2.40
Ni1 0.0000 0.0000 0.5000  6 Si 2.11-2.31
Ni2 0.5000 0.5000 0.0000  6 Si 2.11-2.31

Properties
energy relative to the elements, uncorrected	671	meV/atom


DFT (PBE) results for an optimized crystal structure of Pm2NpSb3Pt4.

a b c (Å): 4.5361 4.5361 11.4050
angles (deg): 90.00 90.00 90.00
Last column: nearest neighbours and their distance in Å.
Sites, in units of the cell vectors:
Pm1 0.0000 0.5000 0.2133  8 Pt 3.33-3.59, 4 Sb 3.35
Pm2 0.5000 0.0000 0.7867  8 Pt 3.33-3.59, 4 Sb 3.35
Np1 0.0000 0.0000 0.5000  4 Pt 2.81
Sb1 0.0000 0.5000 0.8718  5 Pt 2.58-2.70
Sb2 0.5000 0.0000 0.1282  5 Pt 2.58-2.70
Sb3 0.5000 0.5000 0.5000  4 Pt 2.81
Pt1 0.0000 0.0000 0.0000  4 Sb 2.70
Pt2 0.0000 0.5000 0.6456  3 Sb 2.58-2.81, 2 Np 2.81
Pt3 0.5000 0.0000 0.3544  3 Sb 2.58-2.81, 2 Np 2.81
Pt4 0.5000 0.5000 0.0000  4 Sb 2.70

Properties
energy relative to the elements, uncorrected	-747	meV/atom


DFT (PBE) results for an optimized crystal structure of VCoNiPd.

a b c (Å): 2.6330 2.6330 25.2923
angles (deg): 90.00 90.00 120.00
Last column: nearest neighbours and their distance in Å.
Sites, in units of the cell vectors:
V1 0.0000 0.0000 0.0000  3 Co 2.52, 6 V 2.63, 3 Pd 2.68
V2 0.3333 0.6667 0.6667  3 Co 2.52, 6 V 2.63, 3 Pd 2.68
V3 0.6667 0.3333 0.3333  3 Co 2.52, 6 V 2.63, 3 Pd 2.68
Co1 0.0000 0.0000 0.7463  3 Ni 2.50, 3 V 2.52, 6 Co 2.63
Co2 0.3333 0.6667 0.4129  3 Ni 2.50, 3 V 2.52, 6 Co 2.63
Co3 0.6667 0.3333 0.0796  3 Ni 2.50, 3 V 2.52, 6 Co 2.63
Ni1 0.0000 0.0000 0.4912  3 Co 2.50, 6 Ni 2.63, 3 Pd 2.70
Ni2 0.3333 0.6667 0.1579  3 Co 2.50, 6 Ni 2.63, 3 Pd 2.70
Ni3 0.6667 0.3333 0.8245  3 Co 2.50, 6 Ni 2.63, 3 Pd 2.70
Pd1 0.0000 0.0000 0.2460  6 Pd 2.63, 3 V 2.68, 3 Ni 2.70
Pd2 0.3333 0.6667 0.9127  6 Pd 2.63, 3 V 2.68, 3 Ni 2.70
Pd3 0.6667 0.3333 0.5794  6 Pd 2.63, 3 V 2.68, 3 Ni 2.70

Properties
ΔE_f	22	meV per atom


DFT (PBE) results for an optimized crystal structure of Rb2NpS5.

a b c (Å): 6.6903 7.7125 10.2926
angles (deg): 90.00 90.00 90.00
Last column: nearest neighbours and their distance in Å.
Sites, in units of the cell vectors:
Rb1 0.0000 0.0000 0.0000  10 S 3.35-3.68
Rb2 0.0000 0.0000 0.4614  10 S 3.63-3.86
Rb3 0.5000 0.5000 0.5000  10 S 3.35-3.68
Rb4 0.5000 0.5000 0.9614  10 S 3.63-3.86
Np1 0.0000 0.5000 0.2455  5 S 2.40-2.43
Np2 0.5000 0.0000 0.7455  5 S 2.40-2.43
S1 0.0000 0.5000 0.4790  1 Np 2.40
S2 0.2467 0.2244 0.7277  1 Np 2.43
S3 0.2467 0.7756 0.7277  1 Np 2.43
S4 0.2533 0.2756 0.2277  1 Np 2.43
S5 0.2533 0.7244 0.2277  1 Np 2.43
S6 0.5000 0.0000 0.9790  1 Np 2.40
S7 0.7467 0.2756 0.2277  1 Np 2.43
S8 0.7467 0.7244 0.2277  1 Np 2.43
S9 0.7533 0.2244 0.7277  1 Np 2.43
S10 0.7533 0.7756 0.7277  1 Np 2.43

Properties
energy relative to the elements, uncorrected	-719	meV/atom


DFT (PBE) results for an optimized crystal structure of NiGeN2.

a b c (Å): 5.3964 6.4658 5.1484
angles (deg): 90.00 90.00 90.00
Last column: nearest neighbours and their distance in Å.
Sites, in units of the cell vectors:
Ni1 0.0746 0.1217 0.0000  4 N 2.00-2.02
Ni2 0.4254 0.6217 0.5000  4 N 2.00-2.02
Ni3 0.5746 0.3783 0.0000  4 N 2.00-2.02
Ni4 0.9254 0.8783 0.5000  4 N 2.00-2.02
Ge1 0.0769 0.6244 0.0030  4 N 1.87-1.89
Ge2 0.4231 0.1244 0.5030  4 N 1.87-1.89
Ge3 0.5769 0.8756 0.0030  4 N 1.87-1.89
Ge4 0.9231 0.3756 0.5030  4 N 1.87-1.89
N1 0.0721 0.6142 0.3689  2 Ge 1.87-1.89, 2 Ni 2.00-2.02
N2 0.0942 0.1390 0.3876  2 Ge 1.87-1.88, 2 Ni 2.00
N3 0.4058 0.6390 0.8876  2 Ge 1.87-1.88, 2 Ni 2.00
N4 0.4279 0.1142 0.8689  2 Ge 1.87-1.89, 2 Ni 2.00-2.02
N5 0.5721 0.8858 0.3689  2 Ge 1.87-1.89, 2 Ni 2.00-2.02
N6 0.5942 0.3610 0.3876  2 Ge 1.87-1.88, 2 Ni 2.00
N7 0.9058 0.8610 0.8876  2 Ge 1.87-1.88, 2 Ni 2.00
N8 0.9279 0.3858 0.8689  2 Ge 1.87-1.89, 2 Ni 2.00-2.02

Properties
energy relative to the elements, uncorrected	225	meV/atom


DFT (PBE) results for an optimized crystal structure of GdErZnCu.

a b c (Å): 7.0453 7.0453 7.0453
angles (deg): 90.00 90.00 90.00
Last column: nearest neighbours and their distance in Å.
Sites, in units of the cell vectors:
Gd1 0.0000 0.0000 0.0000  4 Cu 3.05, 4 Zn 3.05
Gd2 0.0000 0.5000 0.5000  4 Zn 3.05, 4 Cu 3.05
Gd3 0.5000 0.0000 0.5000  4 Zn 3.05, 4 Cu 3.05
Gd4 0.5000 0.5000 0.0000  4 Cu 3.05, 4 Zn 3.05
Er1 0.0000 0.0000 0.5000  4 Cu 3.05, 4 Zn 3.05
Er2 0.0000 0.5000 0.0000  4 Cu 3.05, 4 Zn 3.05
Er3 0.5000 0.0000 0.0000  4 Cu 3.05, 4 Zn 3.05
Er4 0.5000 0.5000 0.5000  4 Cu 3.05, 4 Zn 3.05
Zn1 0.2500 0.2500 0.7500  4 Gd 3.05, 4 Er 3.05
Zn2 0.2500 0.7500 0.2500  4 Gd 3.05, 4 Er 3.05
Zn3 0.7500 0.2500 0.2500  4 Gd 3.05, 4 Er 3.05
Zn4 0.7500 0.7500 0.7500  4 Gd 3.05, 4 Er 3.05
Cu1 0.2500 0.2500 0.2500  4 Gd 3.05, 4 Er 3.05
Cu2 0.2500 0.7500 0.7500  4 Gd 3.05, 4 Er 3.05
Cu3 0.7500 0.2500 0.7500  4 Gd 3.05, 4 Er 3.05
Cu4 0.7500 0.7500 0.2500  4 Gd 3.05, 4 Er 3.05

Properties
ΔE_f	-282	meV per atom


DFT (PBE) results for an optimized crystal structure of PrHAu.

a b c (Å): 4.0175 4.0175 4.3313
angles (deg): 90.00 90.00 120.00
Last column: nearest neighbours and their distance in Å.
Sites, in units of the cell vectors:
Pr1 0.0000 0.0000 0.0000  3 H 2.32
H1 0.6667 0.3333 0.9982  3 Pr 2.32
Au1 0.3333 0.6667 0.4998  6 H 3.17-3.18, 6 Pr 3.17

Properties
VASP energy	-4.30	eV/atom


DFT (PBE) results for an optimized crystal structure of LaCeSbTe.

a b c (Å): 4.5539 4.5539 22.4223
angles (deg): 90.00 90.00 120.00
Last column: nearest neighbours and their distance in Å.
Sites, in units of the cell vectors:
La1 0.0000 0.0000 0.0000  3 Sb 3.22, 3 Te 3.28
La2 0.3333 0.6667 0.6667  3 Sb 3.22, 3 Te 3.28
La3 0.6667 0.3333 0.3333  3 Sb 3.22, 3 Te 3.28
Ce1 0.0000 0.0000 0.4957  3 Sb 3.18, 3 Te 3.23
Ce2 0.3333 0.6667 0.1624  3 Sb 3.18, 3 Te 3.23
Ce3 0.6667 0.3333 0.8291  3 Sb 3.18, 3 Te 3.23
Sb1 0.0000 0.0000 0.7495  3 Ce 3.18, 3 La 3.22
Sb2 0.3333 0.6667 0.4162  3 Ce 3.18, 3 La 3.22
Sb3 0.6667 0.3333 0.0829  3 Ce 3.18, 3 La 3.22
Te1 0.0000 0.0000 0.2460  3 Ce 3.23, 3 La 3.28
Te2 0.3333 0.6667 0.9127  3 Ce 3.23, 3 La 3.28
Te3 0.6667 0.3333 0.5793  3 Ce 3.23, 3 La 3.28

Properties
energy relative to the elements, uncorrected	-1346	meV/atom


DFT (PBE) results for an optimized crystal structure of BaLaCr3.

a b c (Å): 5.3960 5.3960 5.3960
angles (deg): 90.00 90.00 90.00
Last column: nearest neighbours and their distance in Å.
Sites, in units of the cell vectors:
Ba1 0.0000 0.0000 0.0000  12 Cr 3.82
La1 0.5000 0.5000 0.5000  6 Cr 2.70
Cr1 0.0000 0.5000 0.5000  2 La 2.70
Cr2 0.5000 0.0000 0.5000  2 La 2.70
Cr3 0.5000 0.5000 0.0000  2 La 2.70

Properties
ΔE_f	1405	meV per atom


DFT (PBE) results for an optimized crystal structure of TiTlFe2I.

a b c (Å): 4.6834 4.6834 5.7686
angles (deg): 90.00 90.00 90.00
Last column: nearest neighbours and their distance in Å.
Sites, in units of the cell vectors:
Ti1 0.0000 0.0000 0.0000  4 Fe 2.34
Tl1 0.0000 0.0000 0.5000  2 Ti 2.88
Fe1 0.0000 0.5000 0.0000  2 Ti 2.34
Fe2 0.5000 0.0000 0.0000  2 Ti 2.34
I1 0.5000 0.5000 0.5000  4 Tl 3.31

Properties
energy relative to the elements, uncorrected	1048	meV/atom


no.,N(E_F) (states/eV per cell)
1,11.30
2,8.27
3,16.86
4,4.81
5,6.59
6,10.86
7,2.48
8,24.81
9,6.50
10,7.10